SCAN TaAl5, single point on PBEsol structure; ΔE_f = -0.028 eV/atom; calculated volume = 96 Å³ per cell; offset from the most stable computed form = 106.1 meV/atom; total magnetic moment = 1.22 μB/f.u.; electronic total energy = -17.59 eV per atom
1.0
-4.131 1.989 0.039
-0.486 -1.104 4.779
2.047 4.277 -1.345
Al Ta
5 1
Cartesian
-0.327 -0.741 3.209
1.374 2.872 -0.903
-1.708 1.684 2.757
-0.863 3.478 0.716
0.513 1.043 1.128
-2.066 0.995 0.019